Entry 1:
Nd3Ag2Hg6 | PBE | optimized geometry Values from VASP.

Results
Mass density   10.4 g/cm3
D(E_F)   9.88 states/eV/cell
Energy of formation   -0.204 eV per atom

```
&SYSTEM
  ibrav = 0, nat = 11, ntyp = 3
/
ATOMIC_SPECIES
Nd 144.24 Nd.upf
Ag 107.87 Ag.upf
Hg 200.59 Hg.upf
CELL_PARAMETERS angstrom
-3.3918 2.1973 1.3322
-2.0829 -1.0591 -3.5562
-3.0121 -13.8908 8.4471
ATOMIC_POSITIONS crystal
Nd 0.0000 0.0000 0.0000
Nd 0.8247 0.8247 0.6495
Nd 0.1753 0.1753 0.3505
Ag 0.3602 0.3602 0.7205
Ag 0.6398 0.6398 0.2795
Hg 0.0757 0.5757 0.1514
Hg 0.5757 0.0757 0.1514
Hg 0.9243 0.4243 0.8486
Hg 0.4243 0.9243 0.8486
Hg 0.7268 0.7268 0.4537
Hg 0.2732 0.2732 0.5463
```

Entry 2:
GdScOsAu | PBE | optimized geometry Values from VASP.

Results
Mass density   12.2 g/cm3
D(E_F)   2.17 states/eV/cell
Energy of formation   -0.449 eV per atom

```
&SYSTEM
  ibrav = 0, nat = 4, ntyp = 4
/
ATOMIC_SPECIES
Sc 44.96 Sc.upf
Os 190.23 Os.upf
Gd 157.25 Gd.upf
Au 196.97 Au.upf
CELL_PARAMETERS angstrom
4.8381 0.0000 0.0000
2.4190 4.1899 0.0000
2.4190 1.3966 3.9503
ATOMIC_POSITIONS crystal
Sc 0.2500 0.2500 0.2500
Os 0.0000 0.0000 0.0000
Gd 0.7500 0.7500 0.7500
Au 0.5000 0.5000 0.5000
```

Entry 3:
PuPaBi2 | PBE | optimized geometry Values from VASP.

Results
Mass density   11.3 g/cm3
Offset from the most stable computed form   0.086 eV/atom
D(E_F)   16.26 states/eV/cell
Energy of formation   -0.136 eV per atom

```
&SYSTEM
  ibrav = 0, nat = 4, ntyp = 3
/
ATOMIC_SPECIES
Pu 244.00 Pu.upf
Pa 231.04 Pa.upf
Bi 208.98 Bi.upf
CELL_PARAMETERS angstrom
4.3331 0.0000 0.0000
2.1666 3.7526 0.0000
2.1666 1.2509 8.0582
ATOMIC_POSITIONS crystal
Pu 0.6679 0.6679 0.9964
Pa 0.4993 0.4993 0.5022
Bi 0.0832 0.0832 0.7504
Bi 0.2497 0.2497 0.2509
```

Entry 4:
TiAg2TeO5 | PBE | optimized geometry Values from VASP.

Results
Energy relative to the elements, uncorrected   -1.200 eV/atom
Mass density   5.6 g/cm3

```
&SYSTEM
  ibrav = 0, nat = 18, ntyp = 4
/
ATOMIC_SPECIES
Ti 47.87 Ti.upf
Ag 107.87 Ag.upf
Te 127.60 Te.upf
O 16.00 O.upf
CELL_PARAMETERS angstrom
-1.8849 2.0553 1.6406
2.7579 -4.5548 5.6841
8.7460 6.9578 1.3319
ATOMIC_POSITIONS crystal
Ti 0.7583 0.5166 0.5164
Ti 0.2417 0.4834 0.0164
Ag 0.8859 0.7718 0.7882
Ag 0.1197 0.2393 0.7202
Ag 0.1141 0.2282 0.2882
Ag 0.8803 0.7607 0.2202
Te 0.5453 0.0907 0.9755
Te 0.4547 0.9093 0.4755
O 0.3240 0.6481 0.9118
O 0.6669 0.3339 0.9239
O 0.5177 0.0354 0.8050
O 0.2353 0.4706 0.6074
O 0.9050 0.8100 0.5756
O 0.6760 0.3519 0.4118
O 0.3331 0.6661 0.4239
O 0.4823 0.9646 0.3050
O 0.7647 0.5294 0.1074
O 0.0950 0.1900 0.0756
```

Entry 5:
Ti3Ni12Mo | PBE | optimized geometry Values from VASP.

Results
Mass density   8.3 g/cm3
D(E_F)   10.05 states/eV/cell
Energy of formation   -0.316 eV per atom

```
&SYSTEM
  ibrav = 0, nat = 16, ntyp = 3
/
ATOMIC_SPECIES
Ti 47.87 Ti.upf
Ni 58.69 Ni.upf
Mo 95.94 Mo.upf
CELL_PARAMETERS angstrom
-3.0761 1.4501 -1.2312
-1.8272 -1.6015 2.6791
2.1205 11.6287 8.3979
ATOMIC_POSITIONS crystal
Ti 0.0000 0.0000 0.2517
Ti 0.0000 0.0000 0.5000
Ti 0.0000 0.0000 0.7483
Ni 0.5000 0.5000 0.0000
Ni 0.5000 0.5000 0.2513
Ni 0.5000 0.5000 0.5000
Ni 0.5000 0.5000 0.7487
Ni 0.5000 0.0000 0.1267
Ni 0.5000 0.0000 0.3760
Ni 0.5000 0.0000 0.6240
Ni 0.5000 0.0000 0.8733
Ni 0.0000 0.5000 0.1267
Ni 0.0000 0.5000 0.3760
Ni 0.0000 0.5000 0.6240
Ni 0.0000 0.5000 0.8733
Mo 0.0000 0.0000 0.0000
```

Entry 6:
SrYSb2 | PBE | optimized geometry Values from VASP.

Results
Energy relative to the elements, uncorrected   -0.480 eV/atom
Mass density   3.8 g/cm3
Offset from the most stable computed form   0.482 eV/atom
D(E_F)   10.64 states/eV/cell

```
&SYSTEM
  ibrav = 0, nat = 8, ntyp = 3
/
ATOMIC_SPECIES
Y 88.91 Y.upf
Sb 121.76 Sb.upf
Sr 87.62 Sr.upf
CELL_PARAMETERS angstrom
-5.5669 0.3369 3.5360
-2.8087 -4.4417 -3.9988
-1.4331 -8.2284 4.6938
ATOMIC_POSITIONS crystal
Y 0.0000 0.0000 0.0000
Y 0.7500 0.2500 0.5000
Sb 0.6738 0.1250 0.2500
Sb 0.0762 0.6250 0.2500
Sb 0.3750 0.3262 0.7500
Sb 0.8750 0.9238 0.7500
Sr 0.5000 0.5000 0.0000
Sr 0.2500 0.7500 0.5000
```

Entry 7:
CuPb2O2F2 | PBE | optimized geometry Values from VASP.

Results
Energy relative to the elements, uncorrected   -1.270 eV/atom
Mass density   7.4 g/cm3
Offset from the most stable computed form   0.143 eV/atom
D(E_F)   3.83 states/eV/cell

```
&SYSTEM
  ibrav = 0, nat = 7, ntyp = 4
/
ATOMIC_SPECIES
Cu 63.55 Cu.upf
Pb 207.20 Pb.upf
O 16.00 O.upf
F 19.00 F.upf
CELL_PARAMETERS angstrom
-2.0033 2.0033 7.6600
2.0033 -2.0033 7.6600
2.0033 2.0033 -7.6600
ATOMIC_POSITIONS crystal
Cu 0.0000 0.0000 0.0000
Pb 0.3297 0.3297 0.0000
Pb 0.6703 0.6703 0.0000
O 0.2500 0.7500 0.5000
O 0.7500 0.2500 0.5000
F 0.0000 0.5000 0.5000
F 0.5000 0.0000 0.5000
```

Entry 8:
TlSn3Au | PBE | optimized geometry Values from VASP.

Results
Mass density   9.1 g/cm3
Offset from the most stable computed form   0.000 eV/atom
D(E_F)   9.71 states/eV/cell
Energy of formation   -0.048 eV per atom

```
&SYSTEM
  ibrav = 0, nat = 20, ntyp = 3
/
ATOMIC_SPECIES
Tl 204.38 Tl.upf
Sn 118.71 Sn.upf
Au 196.97 Au.upf
CELL_PARAMETERS angstrom
4.4610 0.0000 0.0000
0.0000 9.1097 0.0006
0.0000 0.0008 13.6300
ATOMIC_POSITIONS crystal
Tl 0.7500 0.8517 0.9981
Tl 0.2500 0.6483 0.4980
Tl 0.7500 0.3517 0.5020
Tl 0.2500 0.1483 0.0019
Sn 0.2500 0.6014 0.0704
Sn 0.7500 0.3986 0.9296
Sn 0.2500 0.1012 0.4297
Sn 0.7500 0.8988 0.5703
Sn 0.2500 0.3828 0.6815
Sn 0.7500 0.1171 0.1812
Sn 0.2500 0.8829 0.8188
Sn 0.7500 0.6418 0.7309
Sn 0.2500 0.3582 0.2691
Sn 0.7500 0.1414 0.7693
Sn 0.7500 0.6172 0.3185
Sn 0.2500 0.8586 0.2307
Au 0.2500 0.0610 0.6405
Au 0.2500 0.5610 0.8597
Au 0.7500 0.4390 0.1403
Au 0.7500 0.9390 0.3595
```

Entry 9:
Rb2TlAsW | PBE | optimized geometry Values from VASP.

Results
Mass density   4.4 g/cm3
D(E_F)   2.46 states/eV/cell
Energy of formation   1.386 eV per atom

```
&SYSTEM
  ibrav = 0, nat = 5, ntyp = 4
/
ATOMIC_SPECIES
As 74.92 As.upf
Tl 204.38 Tl.upf
Rb 85.47 Rb.upf
W 183.84 W.upf
CELL_PARAMETERS angstrom
6.6420 0.0000 0.0000
0.0000 5.4553 0.0000
0.0000 0.0000 6.6420
ATOMIC_POSITIONS crystal
As 0.5000 0.5000 0.5000
Tl 0.0000 0.5000 0.0000
Rb 0.0000 0.0000 0.5000
Rb 0.5000 0.0000 0.0000
W 0.0000 0.0000 0.0000
```

Entry 10:
NdTe7Pb5 | PBE | optimized geometry Values from VASP.

Results
Energy relative to the elements, uncorrected   -0.548 eV/atom
Mass density   7.3 g/cm3

```
&SYSTEM
  ibrav = 0, nat = 26, ntyp = 3
/
ATOMIC_SPECIES
Nd 144.24 Nd.upf
Te 127.60 Te.upf
Pb 207.20 Pb.upf
CELL_PARAMETERS angstrom
-3.2506 -2.5519 -1.9043
0.9476 -2.7656 7.5250
-18.5141 17.2547 8.4810
ATOMIC_POSITIONS crystal
Nd 0.7892 0.5784 0.2623
Nd 0.1899 0.3798 0.7614
Te 0.4338 0.8675 0.2467
Te 0.5553 0.1107 0.7453
Te 0.6529 0.3058 0.0346
Te 0.3758 0.7517 0.9605
Te 0.3490 0.6980 0.5384
Te 0.6254 0.2509 0.4666
Te 0.2046 0.4093 0.1835
Te 0.8233 0.6467 0.8064
Te 0.8062 0.6125 0.7001
Te 0.1717 0.3434 0.3199
Te 0.9307 0.8613 0.1066
Te 0.1153 0.2305 0.8756
Te 0.0752 0.1505 0.6098
Te 0.8843 0.7685 0.3768
Pb 0.0125 0.0251 0.0021
Pb 0.7403 0.4807 0.9314
Pb 0.2918 0.5835 0.0772
Pb 0.5280 0.0560 0.3480
Pb 0.4490 0.8980 0.6462
Pb 0.9893 0.9786 0.5015
Pb 0.2636 0.5272 0.4236
Pb 0.7141 0.4283 0.5700
Pb 0.4788 0.9576 0.8512
Pb 0.5572 0.1144 0.1542
```

Entry 11:
Pr3HoF | PBE | optimized geometry Values from VASP.

Results
Energy relative to the elements, uncorrected   -0.982 eV/atom
Mass density   7.1 g/cm3
D(E_F)   5.03 states/eV/cell

```
&SYSTEM
  ibrav = 0, nat = 5, ntyp = 3
/
ATOMIC_SPECIES
Pr 140.91 Pr.upf
Ho 164.93 Ho.upf
F 19.00 F.upf
CELL_PARAMETERS angstrom
5.2101 0.0000 0.0000
0.0000 5.2101 0.0000
0.0000 0.0000 5.2101
ATOMIC_POSITIONS crystal
Pr 0.0000 0.5000 0.0000
Pr 0.0000 0.0000 0.5000
Pr 0.5000 0.0000 0.0000
Ho 0.5000 0.5000 0.5000
F 0.0000 0.0000 0.0000
```

Entry 12:
ZnFeTe2I | PBE | optimized geometry Values from VASP.

Results
Energy relative to the elements, uncorrected   0.482 eV/atom
Mass density   6.0 g/cm3
Offset from the most stable computed form   0.000 eV/atom
D(E_F)   7.66 states/eV/cell

```
&SYSTEM
  ibrav = 0, nat = 5, ntyp = 4
/
ATOMIC_SPECIES
I 126.90 I.upf
Zn 65.41 Zn.upf
Te 127.60 Te.upf
Fe 55.84 Fe.upf
CELL_PARAMETERS angstrom
4.9488 0.0000 0.0000
0.0000 4.9488 0.0000
0.0000 0.0000 5.6933
ATOMIC_POSITIONS crystal
I 0.0000 0.0000 0.5000
Zn 0.5000 0.5000 0.5000
Te 0.0000 0.5000 0.0000
Te 0.5000 0.0000 0.0000
Fe 0.0000 0.0000 0.0000
```

Entry 13:
AcPrNd2Er4 | PBE | optimized geometry Values from VASP.

Results
Mass density   7.9 g/cm3
D(E_F)   37.04 states/eV/cell
Energy of formation   0.419 eV per atom

```
&SYSTEM
  ibrav = 0, nat = 16, ntyp = 4
/
ATOMIC_SPECIES
Ac 227.00 Ac.upf
Pr 140.91 Pr.upf
Nd 144.24 Nd.upf
Er 167.26 Er.upf
CELL_PARAMETERS angstrom
9.4980 -0.0212 -1.7971
-0.0279 9.4980 -1.7971
-6.0206 -6.0248 8.4897
ATOMIC_POSITIONS crystal
Ac 0.0000 0.5000 0.0000
Ac 0.0000 0.5000 0.5000
Pr 0.5000 0.5000 0.5000
Pr 0.0000 0.0000 0.0000
Nd 0.5000 0.0000 0.0000
Nd 0.5000 0.0000 0.5000
Nd 0.0000 0.0000 0.5000
Nd 0.5000 0.5000 0.0000
Er 0.2629 0.7613 0.0120
Er 0.7387 0.2371 0.4880
Er 0.2613 0.7629 0.5120
Er 0.7371 0.2387 0.9880
Er 0.7412 0.7572 0.0002
Er 0.7428 0.7588 0.4998
Er 0.2572 0.2412 0.5002
Er 0.2588 0.2428 0.9998
```

Entry 14:
La2YBi | PBE | optimized geometry Values from VASP.

Results
Mass density   6.8 g/cm3
D(E_F)   9.14 states/eV/cell
Energy of formation   -0.188 eV per atom

```
&SYSTEM
  ibrav = 0, nat = 8, ntyp = 3
/
ATOMIC_SPECIES
Y 88.91 Y.upf
Bi 208.98 Bi.upf
La 138.91 La.upf
CELL_PARAMETERS angstrom
9.3076 0.0000 0.0000
0.0000 9.3076 0.0000
4.6538 4.6538 3.2302
ATOMIC_POSITIONS crystal
Y 0.5000 0.5000 0.0000
Y 0.2500 0.7500 0.5000
Bi 0.0000 0.0000 0.0000
Bi 0.7500 0.2500 0.5000
La 0.6483 0.1250 0.2500
La 0.1017 0.6250 0.2500
La 0.3750 0.3517 0.7500
La 0.8750 0.8983 0.7500
```

Entry 15:
BeInNi | PBE | optimized geometry Values from VASP.

Results
Mass density   7.5 g/cm3
Offset from the most stable computed form   0.000 eV/atom
D(E_F)   1.18 states/eV/cell
Energy of formation   -0.012 eV per atom

```
&SYSTEM
  ibrav = 0, nat = 3, ntyp = 3
/
ATOMIC_SPECIES
Ni 58.69 Ni.upf
Be 9.01 Be.upf
In 114.82 In.upf
CELL_PARAMETERS angstrom
-2.4104 1.9383 3.8370
-4.4247 0.4889 2.1148
-0.2596 -2.1458 2.1100
ATOMIC_POSITIONS crystal
Ni 0.6301 0.6301 0.3699
Be 0.0395 0.0395 0.9605
In 0.3304 0.3304 0.6696
```

Entry 16:
Tl3WCl6 | PBE | optimized geometry Values from VASP.

Results
Energy relative to the elements, uncorrected   -0.869 eV/atom
Mass density   5.4 g/cm3

```
&SYSTEM
  ibrav = 0, nat = 20, ntyp = 3
/
ATOMIC_SPECIES
Tl 204.38 Tl.upf
W 183.84 W.upf
Cl 35.45 Cl.upf
CELL_PARAMETERS angstrom
-4.9480 -5.1457 -1.1163
5.3019 -5.6128 2.3719
-3.6140 0.8220 10.0236
ATOMIC_POSITIONS crystal
Tl 0.5267 0.9332 0.7605
Tl 0.5000 0.5000 0.0000
Tl 0.4733 0.0668 0.2395
Tl 0.0267 0.5668 0.2605
Tl 0.0000 0.0000 0.5000
Tl 0.9733 0.4332 0.7395
W 0.5000 0.5000 0.5000
W 0.0000 0.0000 0.0000
Cl 0.7153 0.1582 0.9680
Cl 0.6564 0.2469 0.5686
Cl 0.6065 0.4441 0.2839
Cl 0.3935 0.5559 0.7161
Cl 0.3436 0.7531 0.4314
Cl 0.2847 0.8418 0.0320
Cl 0.2153 0.3418 0.4680
Cl 0.1564 0.2531 0.0686
Cl 0.1065 0.0559 0.7839
Cl 0.8935 0.9441 0.2161
Cl 0.8436 0.7469 0.9314
Cl 0.7847 0.6582 0.5320
```

Entry 17:
Tl2In4Hg | PBE | optimized geometry Values from VASP.

Results
Mass density   7.1 g/cm3
Offset from the most stable computed form   0.135 eV/atom
D(E_F)   4.79 states/eV/cell
Energy of formation   0.248 eV per atom

```
&SYSTEM
  ibrav = 0, nat = 7, ntyp = 3
/
ATOMIC_SPECIES
Tl 204.38 Tl.upf
Hg 200.59 Hg.upf
In 114.82 In.upf
CELL_PARAMETERS angstrom
5.5733 0.0000 -0.7851
-0.1106 5.5722 -0.7851
-1.6470 -1.6800 8.4828
ATOMIC_POSITIONS crystal
Tl 0.6147 0.6147 0.2295
Tl 0.3853 0.3853 0.7705
Hg 0.0000 0.0000 0.0000
In 0.8107 0.8107 0.6214
In 0.1893 0.1893 0.3786
In 0.0000 0.5000 0.0000
In 0.5000 0.0000 0.0000
```

Entry 18:
PmNdCdAu | PBE | optimized geometry Values from VASP.

Results
Mass density   9.3 g/cm3
Offset from the most stable computed form   0.000 eV/atom
D(E_F)   3.66 states/eV/cell
Energy of formation   -0.544 eV per atom

```
&SYSTEM
  ibrav = 0, nat = 4, ntyp = 4
/
ATOMIC_SPECIES
Pm 145.00 Pm.upf
Nd 144.24 Nd.upf
Cd 112.41 Cd.upf
Au 196.97 Au.upf
CELL_PARAMETERS angstrom
3.7736 0.0000 0.0000
0.0000 3.7736 0.0000
0.0000 0.0000 7.5337
ATOMIC_POSITIONS crystal
Pm 0.5000 0.5000 0.1215
Nd 0.5000 0.5000 0.5942
Cd 0.0000 0.0000 0.8602
Au 0.0000 0.0000 0.3520
```

Entry 19:
LiFe2Cl | PBE | optimized geometry Values from VASP.

Results
Energy relative to the elements, uncorrected   0.367 eV/atom
Mass density   4.4 g/cm3
Offset from the most stable computed form   0.550 eV/atom
D(E_F)   3.72 states/eV/cell

```
&SYSTEM
  ibrav = 0, nat = 4, ntyp = 3
/
ATOMIC_SPECIES
Cl 35.45 Cl.upf
Fe 55.84 Fe.upf
Li 6.94 Li.upf
CELL_PARAMETERS angstrom
8.4896 0.0070 0.0041
8.0074 2.8204 0.0041
8.0074 1.3724 2.4640
ATOMIC_POSITIONS crystal
Cl 0.7500 0.7500 0.7500
Fe 0.0066 0.0066 0.0066
Fe 0.4934 0.4934 0.4934
Li 0.2500 0.2500 0.2500
```

Entry 20:
BaCaTe2 | PBE | optimized geometry Values from VASP.

Results
Energy relative to the elements, uncorrected   -0.781 eV/atom
Mass density   5.3 g/cm3
Offset from the most stable computed form   0.915 eV/atom
D(E_F)   0.12 states/eV/cell

```
&SYSTEM
  ibrav = 0, nat = 4, ntyp = 3
/
ATOMIC_SPECIES
Ca 40.08 Ca.upf
Te 127.60 Te.upf
Ba 137.33 Ba.upf
CELL_PARAMETERS angstrom
-1.9123 3.1513 -4.4394
-0.6177 -2.4199 -5.2018
-5.2770 -0.9334 -2.1395
ATOMIC_POSITIONS crystal
Ca 0.7500 0.7500 0.7500
Te 0.0000 0.0000 0.0000
Te 0.2500 0.2500 0.2500
Ba 0.5000 0.5000 0.5000
```

Entry 21:
TaV2N | PBE | optimized geometry Values from VASP.

Results
Energy relative to the elements, uncorrected   -0.308 eV/atom
Mass density   9.3 g/cm3
D(E_F)   3.53 states/eV/cell

```
&SYSTEM
  ibrav = 0, nat = 4, ntyp = 3
/
ATOMIC_SPECIES
N 14.01 N.upf
V 50.94 V.upf
Ta 180.95 Ta.upf
CELL_PARAMETERS angstrom
2.8919 0.0000 0.0000
1.4459 2.5044 0.0000
1.4459 0.8348 7.3374
ATOMIC_POSITIONS crystal
N 0.5000 0.5000 0.5000
V 0.1169 0.1169 0.6494
V 0.8831 0.8831 0.3506
Ta 0.0000 0.0000 0.0000
```

Entry 22:
KN2Cl | PBE | optimized geometry Values from VASP.

Results
Energy relative to the elements, uncorrected   -0.911 eV/atom
Mass density   1.1 g/cm3
Offset from the most stable computed form   0.000 eV/atom
D(E_F)   0.00 states/eV/cell

```
&SYSTEM
  ibrav = 0, nat = 8, ntyp = 3
/
ATOMIC_SPECIES
K 39.10 K.upf
N 14.01 N.upf
Cl 35.45 Cl.upf
CELL_PARAMETERS angstrom
-4.1033 0.9484 4.4285
0.3318 -5.3458 1.4524
8.6889 1.5015 3.5412
ATOMIC_POSITIONS crystal
K 0.7185 0.7500 0.9367
K 0.2815 0.2500 0.0633
N 0.4184 0.6497 0.3377
N 0.5816 0.3503 0.6623
N 0.4184 0.8503 0.3377
N 0.5816 0.1497 0.6623
Cl 0.7933 0.2500 0.0871
Cl 0.2067 0.7500 0.9129
```

Entry 23:
NbCoPCl2 | PBE | optimized geometry Values from VASP.

Results
Energy relative to the elements, uncorrected   0.483 eV/atom
Mass density   4.7 g/cm3
Offset from the most stable computed form   0.081 eV/atom
D(E_F)   5.20 states/eV/cell

```
&SYSTEM
  ibrav = 0, nat = 5, ntyp = 4
/
ATOMIC_SPECIES
P 30.97 P.upf
Nb 92.91 Nb.upf
Co 58.93 Co.upf
Cl 35.45 Cl.upf
CELL_PARAMETERS angstrom
-0.1400 -0.6764 4.3190
3.3409 -2.8036 -0.3308
3.0334 3.5377 0.6523
ATOMIC_POSITIONS crystal
P 0.0000 0.0000 0.5000
Nb 0.5000 0.5000 0.5000
Co 0.0000 0.0000 0.0000
Cl 0.0000 0.5000 0.0000
Cl 0.5000 0.0000 0.0000
```